# 1
SmDy12Sc6: optimized geometry, GGA-PBE.

Cell lengths 10.4356, 10.4356, 10.4356 Å; angles 90.00, 90.00, 90.00 degrees
Space group Im-3 (No. 204)
Unique sites:
Sm: 0.0000 0.0000 0.0000 (multiplicity 2)
Dy: 0.0000 0.2671 0.1973 (multiplicity 24)
Sc: 0.0000 0.1376 0.5000 (multiplicity 12)

* energy: -4.912 eV/atom
* ρ: 6.93 g/cm3
* excess energy over the best structure of this formula in the dataset: 0.0000 eV per atom


# 2
PmPaTl2O8: optimized geometry, GGA-PBE.

Cell lengths 7.0845, 7.0845, 7.6381 Å; angles 90.00, 90.00, 90.00 degrees
Space group I-4m2 (No. 119)
Unique sites:
Pm: 0.0000 0.0000 0.0000 (multiplicity 2)
Pa: 0.0000 0.5000 0.7500 (multiplicity 2)
Tl: 0.0000 0.0000 0.5000 (multiplicity 2)
Tl: 0.0000 0.5000 0.2500 (multiplicity 2)
O: 0.0000 0.1910 0.7197 (multiplicity 8)
O: 0.0000 0.3305 0.0195 (multiplicity 8)

* energy: -6.669 eV/atom
* ρ: 7.91 g/cm3
* formation energy without anion corrections: -1.782 eV/atom


# 3
BeCo2Br: optimized geometry, GGA-PBE.

Cell lengths 3.0468, 3.0468, 5.7570 Å; angles 90.00, 90.00, 90.00 degrees
Space group P4mm (No. 99)
Unique sites:
Be: 0.0000 0.0000 0.0000 (multiplicity 1)
Co: 0.0000 0.0000 0.6262 (multiplicity 1)
Co: 0.5000 0.5000 0.8727 (multiplicity 1)
Br: 0.5000 0.5000 0.3185 (multiplicity 1)

* energy: -4.469 eV/atom
* ρ: 6.43 g/cm3
* formation energy without anion corrections: 0.434 eV/atom
* excess energy over the best structure of this formula in the dataset: 0.1145 eV per atom


# 4
NdSm3Th3: optimized geometry, GGA-PBE.

Cell lengths 9.5876, 9.5876, 5.9330 Å; angles 90.00, 90.00, 120.00 degrees
Space group P6_3/m (No. 176)
Unique sites:
Nd: 0.3333 0.6667 0.2500 (multiplicity 2)
Sm: 0.0433 0.8018 0.2500 (multiplicity 6)
Th: 0.1024 0.6147 0.7500 (multiplicity 6)

* energy: -5.805 eV/atom
* ρ: 9.08 g/cm3


# 5
VZn2Ir: optimized geometry, GGA-PBE.

Cell lengths 6.0621, 6.0621, 6.0621 Å; angles 90.00, 90.00, 90.00 degrees
Space group Fm-3m (No. 225)
Unique sites:
V: 0.0000 0.0000 0.0000 (multiplicity 4)
Zn: 0.2500 0.2500 0.2500 (multiplicity 8)
Ir: 0.0000 0.0000 0.5000 (multiplicity 4)

* energy: -5.185 eV/atom
* ρ: 11.15 g/cm3
* excess energy over the best structure of this formula in the dataset: 0.0000 eV per atom


# 6
Na2CdSi2Pt5: optimized geometry, GGA-PBE.

Cell lengths 9.7878, 9.7878, 3.5382 Å; angles 90.00, 90.00, 90.00 degrees
Space group P4/mbm (No. 127)
Unique sites:
Na: 0.1737 0.3263 0.0000 (multiplicity 4)
Cd: 0.0000 0.0000 0.0000 (multiplicity 2)
Si: 0.1259 0.6259 0.0000 (multiplicity 4)
Pt: 0.0000 0.5000 0.5000 (multiplicity 2)
Pt: 0.0704 0.7862 0.5000 (multiplicity 8)

* energy: -4.975 eV/atom
* ρ: 11.66 g/cm3
* formation energy without anion corrections: -0.515 eV/atom


# 7
SbRu2Pb: optimized geometry, GGA-PBE.

Cell lengths 6.0915, 6.0915, 11.6015 Å; angles 90.00, 90.00, 90.00 degrees
Space group I-42d (No. 122)
Unique sites:
Sb: 0.0000 0.0000 0.0000 (multiplicity 4)
Ru: 0.2323 0.2500 0.1250 (multiplicity 8)
Pb: 0.0000 0.0000 0.5000 (multiplicity 4)

* energy: -5.754 eV/atom
* ρ: 8.19 g/cm3
* formation energy without anion corrections: 0.842 eV/atom


# 8
YZn2Cu2: optimized geometry, GGA-PBE.

Cell lengths 7.5070, 7.5070, 2.8960 Å; angles 90.00, 90.00, 90.00 degrees
Space group P4/mbm (No. 127)
Unique sites:
Y: 0.0000 0.0000 0.0000 (multiplicity 2)
Zn: 0.1676 0.3324 0.5000 (multiplicity 4)
Cu: 0.1229 0.6229 0.0000 (multiplicity 4)

* energy: -3.518 eV/atom
* ρ: 7.06 g/cm3
* excess energy over the best structure of this formula in the dataset: 0.1787 eV per atom